Record 1
A plane-wave DFT calculation with PBE was carried out for Tm2Ag3 after structural relaxation.

Symmetry: Ibam
Magnetization, μB/cell: 0.000
Calculated formation energy, eV per atom: -0.156
Theoretical density, g cm⁻³: 9.6

Structure (extended XYZ):
```
10
Lattice="5.513 0.000 0.000 0.000 6.418 0.000 -2.756 -3.209 6.446" Properties=species:S:1:pos:R:3 pbc="T T T"
Tm 0.000 1.343 2.238
Tm 2.756 1.866 4.208
Tm 0.000 -1.866 4.208
Tm 2.756 5.075 2.238
Ag 4.135 0.000 0.000
Ag 1.378 0.000 0.000
Ag 2.756 -0.918 5.271
Ag 2.756 2.291 1.175
Ag 0.000 0.918 5.271
Ag 0.000 4.127 1.175
```



Record 2
A plane-wave DFT calculation with PBE was carried out for Pa3Zn2Ga6 after structural relaxation.

Symmetry: I4/mmm
Magnetization, μB/cell: 0.418
Calculated formation energy, eV per atom: -0.071
Theoretical density, g cm⁻³: 8.9

Structure (extended XYZ):
```
11
Lattice="-1.100 1.196 3.711 -3.578 -1.841 -0.468 7.725 -11.524 3.792" Properties=species:S:1:pos:R:3 pbc="T T T"
Pa 0.000 0.000 0.000
Pa 1.217 -8.145 5.196
Pa 1.829 -4.024 1.839
Zn 3.891 -8.559 3.911
Zn -0.845 -3.610 3.124
Ga -0.926 -2.819 0.634
Ga 0.313 -1.301 2.723
Ga 3.972 -9.350 6.401
Ga 2.733 -10.868 4.312
Ga 0.112 -5.715 4.086
Ga 2.934 -6.454 2.949
```



Record 3
A plane-wave DFT calculation with PBE was carried out for YGaPt2 after structural relaxation.

Symmetry: I-42d
Magnetization, μB/cell: 0.000
Calculated formation energy, eV per atom: -0.548
Theoretical density, g cm⁻³: 9.9

Structure (extended XYZ):
```
8
Lattice="-1.823 -3.547 -2.604 3.272 0.792 -3.370 5.735 -6.620 0.646" Properties=species:S:1:pos:R:3 pbc="T T T"
Y 0.000 0.000 0.000
Y 2.318 -5.773 -2.472
Ga 0.724 -1.378 -2.987
Ga 4.865 -3.603 -2.855
Pt 0.895 -3.400 -1.613
Pt 3.059 -1.977 -2.544
Pt 5.189 -5.915 -2.110
Pt 5.224 -7.460 -4.387
```



Record 4
A plane-wave DFT calculation with PBE was carried out for K2ZnSi after structural relaxation.

Symmetry: R-3m
Energy relative to the elements, uncorrected, eV/atom: 0.5486
Magnetization, μB/cell: 0.000
Theoretical density, g cm⁻³: 2.3

Structure (extended XYZ):
```
4
Lattice="11.676 0.101 0.059 11.111 3.589 0.059 11.111 1.799 3.106" Properties=species:S:1:pos:R:3 pbc="T T T"
K 33.718 5.459 3.207
K 17.130 2.773 1.629
Si 8.475 1.372 0.806
Zn 25.424 4.116 2.418
```



Record 5
A plane-wave DFT calculation with PBE was carried out for KErTe2Au after structural relaxation.

Symmetry: P2/c
Energy relative to the elements, uncorrected, eV/atom: -0.8587
Magnetization, μB/cell: 0.000
Theoretical density, g cm⁻³: 6.5

Structure (extended XYZ):
```
10
Lattice="-1.048 1.127 -4.527 7.387 -3.139 -2.491 -4.254 -7.199 -0.807" Properties=species:S:1:pos:R:3 pbc="T T T"
K 0.396 -6.853 -2.315
K 1.689 -2.357 -5.511
Er -1.584 -1.240 -2.450
Er -3.718 -4.832 -2.884
Te 0.700 -8.669 -5.500
Te -1.014 -3.849 -3.903
Te 3.099 -5.361 -3.922
Te 1.385 -0.542 -2.326
Au 0.000 0.000 0.000
Au -2.127 -3.599 -0.404
```



Record 6
A plane-wave DFT calculation with PBE was carried out for Eu2GdDy after structural relaxation.

Symmetry: Fm-3m
Magnetization, μB/cell: 7.216
Calculated formation energy, eV per atom: 0.154
Theoretical density, g cm⁻³: 7.3

Structure (extended XYZ):
```
4
Lattice="5.855 0.000 0.000 2.927 5.070 0.000 2.927 1.690 4.780" Properties=species:S:1:pos:R:3 pbc="T T T"
Eu 2.927 1.690 1.195
Eu 8.782 5.070 3.585
Gd 5.855 3.380 2.390
Dy 0.000 0.000 0.000
```



Record 7
A plane-wave DFT calculation with PBE was carried out for LaYOs2 after structural relaxation.

Symmetry: Cm
Magnetization, μB/cell: 0.000
Calculated formation energy, eV per atom: 0.139
Theoretical density, g cm⁻³: 11.6
Energy relative to the lowest polymorph listed for this composition, eV per formula unit: 0.94

Structure (extended XYZ):
```
4
Lattice="-0.489 4.756 -3.964 -0.017 2.132 -5.834 -4.497 0.487 -1.819" Properties=species:S:1:pos:R:3 pbc="T T T"
La -1.182 1.964 -3.055
Os -4.362 0.686 -2.064
Os -3.895 5.321 -8.453
Y -2.562 3.580 -5.673
```



Record 8
A plane-wave DFT calculation with PBE was carried out for ReAuSe after structural relaxation.

Symmetry: F-43m
Energy relative to the elements, uncorrected, eV/atom: 0.6423
Magnetization, μB/cell: 0.000
Theoretical density, g cm⁻³: 13.2
Energy relative to the lowest polymorph listed for this composition, eV per formula unit: 1.17

Structure (extended XYZ):
```
3
Lattice="-1.569 4.040 0.300 -2.756 1.489 -3.010 -4.178 0.639 1.006" Properties=species:S:1:pos:R:3 pbc="T T T"
Au -4.251 3.084 -0.852
Re -6.377 4.626 -1.278
Se 0.000 0.000 0.000
```



Record 9
A plane-wave DFT calculation with PBE was carried out for MgIn4Hg after structural relaxation.

Symmetry: P4/mmm
Magnetization, μB/cell: 0.000
Calculated formation energy, eV per atom: -0.023
Theoretical density, g cm⁻³: 7.4
Energy relative to the lowest polymorph listed for this composition, eV per formula unit: 0.00

Structure (extended XYZ):
```
6
Lattice="3.275 0.000 0.000 0.000 3.275 0.000 0.000 0.000 14.304" Properties=species:S:1:pos:R:3 pbc="T T T"
Mg 0.000 0.000 0.000
In 1.638 1.638 2.186
In 0.000 0.000 9.584
In 0.000 0.000 4.720
In 1.638 1.638 12.118
Hg 1.638 1.638 7.152
```



Record 10
A plane-wave DFT calculation with PBE was carried out for InW5 after structural relaxation.

Symmetry: Cm
Magnetization, μB/cell: 0.000
Calculated formation energy, eV per atom: 0.552
Theoretical density, g cm⁻³: 16.8
Energy relative to the lowest polymorph listed for this composition, eV per formula unit: 1.21

Structure (extended XYZ):
```
6
Lattice="0.408 -3.636 4.199 1.661 -4.870 2.133 6.402 1.362 3.068" Properties=species:S:1:pos:R:3 pbc="T T T"
In 8.445 -7.149 9.386
W 2.826 -2.403 3.147
W 5.594 -4.834 6.276
W 3.081 -4.778 4.720
W 5.911 -7.196 7.879
W 6.615 -1.029 4.624
```



Record 11
A plane-wave DFT calculation with PBE was carried out for In3As2 after structural relaxation.

Symmetry: P-3m1
Magnetization, μB/cell: 0.000
Calculated formation energy, eV per atom: -0.031
Theoretical density, g cm⁻³: 6.1
Energy relative to the lowest polymorph listed for this composition, eV per formula unit: 0.00

Structure (extended XYZ):
```
5
Lattice="2.369 -4.103 0.000 2.369 4.103 0.000 0.000 0.000 6.944" Properties=species:S:1:pos:R:3 pbc="T T T"
In 0.000 0.000 0.000
In 2.369 -1.368 4.559
In 2.369 1.368 2.385
As 2.369 -1.368 1.649
As 2.369 1.368 5.295
```



Values for calculated volume, Å³ per atom, ordered as above
22.81; 21.03; 23.00; 31.08; 33.60; 35.48; 21.79; 19.33; 25.57; 17.00; 26.99